DFT (PBE) results for an optimized crystal structure of ZrTcRh2.

```
ZrTcRh2
1.0
-3.196 -0.187 3.713
-0.769 -1.568 4.581
1.297 3.848 2.497
Rh Zr Tc
2 1 1
direct
0.495 0.495 0.516
0.005 0.005 0.984
0.250 0.250 0.250
0.750 0.750 0.750
```

## Properties
**N(E_F)**: 4.0 states/eV/f.u.
**Calculated density**: 10.3 g/cm3
**Energy of formation**: -221 meV/atom
**SG**: C2/m, No. 12